! Rb2TiI2Br4 PBE relaxed; values from VASP
&SYSTEM
  ibrav = 0, nat = 9, ntyp = 4
/
ATOMIC_SPECIES
Rb 85.47 Rb.upf
Ti 47.87 Ti.upf
I 126.90 I.upf
Br 79.90 Br.upf
CELL_PARAMETERS angstrom
6.811 -3.887 0.000
6.811 3.887 0.000
-4.402 0.000 6.467
ATOMIC_POSITIONS angstrom
Rb 2.360 0.000 1.471
Rb 6.860 0.000 4.996
Ti 6.811 0.000 0.000
I 0.262 0.000 4.660
I 8.958 0.000 1.807
Br 5.665 1.781 1.365
Br 3.554 1.781 5.102
Br 5.665 -1.781 1.365
Br 3.554 -1.781 5.102
! Crystal system ... monoclinic
! Raw total energy ... -31.60 eV for the cell shown
! Uncorrected formation energy ... -1.33 eV per atom